BaMnIn2Br6 | GGA-PBE | optimized geometry

Calculated values
- space group = R3
- E_form (uncorrected) (eV per formula unit) = -11.10

Structure (CIF):
```
data_BaMnIn2Br6
_cell_length_a 8.010
_cell_length_b 8.010
_cell_length_c 8.149
_cell_angle_alpha 60.55
_cell_angle_beta 60.55
_cell_angle_gamma 59.98
_symmetry_space_group_name_H-M 'P 1'
_symmetry_Int_Tables_number 1
loop_
_symmetry_equiv_pos_as_xyz
'x,y,z'
loop_
_atom_site_label
_atom_site_type_symbol
_atom_site_fract_x
_atom_site_fract_y
_atom_site_fract_z
Ba1 Ba 0.818 0.818 0.546
Mn1 Mn 0.320 0.320 0.040
In1 In 0.528 0.528 0.416
In2 In 0.028 0.028 0.916
Br1 Br 0.560 0.192 0.249
Br2 Br 0.192 0.999 0.249
Br3 Br 0.999 0.560 0.249
Br4 Br 0.444 0.653 0.784
Br5 Br 0.653 0.119 0.784
Br6 Br 0.119 0.444 0.784
```

Ac2Ga7Pd12 | GGA-PBE | optimized geometry

Calculated values
- E (eV per cell) = -106.91
- space group = P-6

Structure (CIF):
```
data_Ac2Ga7Pd12
_cell_length_a 4.180
_cell_length_b 10.140
_cell_length_c 10.140
_cell_angle_alpha 120.00
_cell_angle_beta 90.00
_cell_angle_gamma 90.00
_symmetry_space_group_name_H-M 'P 1'
_symmetry_Int_Tables_number 1
loop_
_symmetry_equiv_pos_as_xyz
'x,y,z'
loop_
_atom_site_label
_atom_site_type_symbol
_atom_site_fract_x
_atom_site_fract_y
_atom_site_fract_z
Ac1 Ac 0.500 0.000 0.000
Ac2 Ac 0.000 0.667 0.333
Ga1 Ga 0.000 0.333 0.667
Ga2 Ga 0.000 0.083 0.786
Ga3 Ga 0.000 0.703 0.917
Ga4 Ga 0.000 0.214 0.297
Ga5 Ga 0.500 0.646 0.585
Ga6 Ga 0.500 0.940 0.354
Ga7 Ga 0.500 0.415 0.060
Pd1 Pd 0.500 0.910 0.605
Pd2 Pd 0.500 0.695 0.090
Pd3 Pd 0.500 0.395 0.305
Pd4 Pd 0.500 0.240 0.771
Pd5 Pd 0.500 0.531 0.760
Pd6 Pd 0.500 0.229 0.469
Pd7 Pd 0.000 0.051 0.523
Pd8 Pd 0.000 0.471 0.949
Pd9 Pd 0.000 0.477 0.529
Pd10 Pd 0.000 0.803 0.726
Pd11 Pd 0.000 0.923 0.197
Pd12 Pd 0.000 0.274 0.077
```

Cd2PdPt2 | GGA-PBE | optimized geometry

Calculated values
- space group = P4/mbm
- offset from the most stable computed form (eV/f.u.) = 0.000

Structure (CIF):
```
data_Cd2PdPt2
_cell_length_a 6.905
_cell_length_b 6.905
_cell_length_c 3.930
_cell_angle_alpha 90.00
_cell_angle_beta 90.00
_cell_angle_gamma 90.00
_symmetry_space_group_name_H-M 'P 1'
_symmetry_Int_Tables_number 1
loop_
_symmetry_equiv_pos_as_xyz
'x,y,z'
loop_
_atom_site_label
_atom_site_type_symbol
_atom_site_fract_x
_atom_site_fract_y
_atom_site_fract_z
Pd1 Pd 0.000 0.000 0.000
Pd2 Pd 0.500 0.500 0.000
Pt1 Pt 0.367 0.867 0.000
Pt2 Pt 0.867 0.633 0.000
Pt3 Pt 0.633 0.133 0.000
Pt4 Pt 0.133 0.367 0.000
Cd1 Cd 0.171 0.671 0.500
Cd2 Cd 0.671 0.829 0.500
Cd3 Cd 0.829 0.329 0.500
Cd4 Cd 0.329 0.171 0.500
```

Sc2CuSi | GGA-PBE | optimized geometry

Calculated values
- space group = I-42d
- E_form (uncorrected) (eV per formula unit) = 1.05

Structure (CIF):
```
data_Sc2CuSi
_cell_length_a 4.207
_cell_length_b 4.207
_cell_length_c 9.636
_cell_angle_alpha 77.39
_cell_angle_beta 77.39
_cell_angle_gamma 90.00
_symmetry_space_group_name_H-M 'P 1'
_symmetry_Int_Tables_number 1
loop_
_symmetry_equiv_pos_as_xyz
'x,y,z'
loop_
_atom_site_label
_atom_site_type_symbol
_atom_site_fract_x
_atom_site_fract_y
_atom_site_fract_z
Sc1 Sc 0.613 0.125 0.250
Sc2 Sc 0.137 0.625 0.250
Sc3 Sc 0.375 0.387 0.750
Sc4 Sc 0.875 0.863 0.750
Si1 Si 0.500 0.500 0.000
Si2 Si 0.250 0.750 0.500
Cu1 Cu 0.000 0.000 0.000
Cu2 Cu 0.750 0.250 0.500
```

BaMn3B | GGA-PBE | optimized geometry

Calculated values
- space group = Pm-3m
- offset from the most stable computed form (eV/f.u.) = 11.591

Structure (CIF):
```
data_BaMn3B
_cell_length_a 5.444
_cell_length_b 5.444
_cell_length_c 5.444
_cell_angle_alpha 90.00
_cell_angle_beta 90.00
_cell_angle_gamma 90.00
_symmetry_space_group_name_H-M 'P 1'
_symmetry_Int_Tables_number 1
loop_
_symmetry_equiv_pos_as_xyz
'x,y,z'
loop_
_atom_site_label
_atom_site_type_symbol
_atom_site_fract_x
_atom_site_fract_y
_atom_site_fract_z
B1 B 0.500 0.500 0.500
Mn1 Mn 0.000 0.500 0.000
Mn2 Mn 0.000 0.000 0.500
Mn3 Mn 0.500 0.000 0.000
Ba1 Ba 0.000 0.000 0.000
```

CrAsSe4 | GGA-PBE | optimized geometry

Calculated values
- space group = C2/m
- E_form (uncorrected) (eV per formula unit) = -1.54
- offset from the most stable computed form (eV/f.u.) = 0.000

Structure (CIF):
```
data_CrAsSe4
_cell_length_a 3.480
_cell_length_b 6.455
_cell_length_c 7.527
_cell_angle_alpha 115.01
_cell_angle_beta 103.37
_cell_angle_gamma 90.00
_symmetry_space_group_name_H-M 'P 1'
_symmetry_Int_Tables_number 1
loop_
_symmetry_equiv_pos_as_xyz
'x,y,z'
loop_
_atom_site_label
_atom_site_type_symbol
_atom_site_fract_x
_atom_site_fract_y
_atom_site_fract_z
Cr1 Cr 0.000 0.000 0.000
As1 As 0.500 0.500 0.000
Se1 Se 0.609 0.273 0.218
Se2 Se 0.886 0.196 0.773
Se3 Se 0.391 0.727 0.782
Se4 Se 0.114 0.804 0.227
```

CeSc2B6 | GGA-PBE | optimized geometry

Calculated values
- E (eV per cell) = -64.21
- space group = P6/mmm

Structure (CIF):
```
data_CeSc2B6
_cell_length_a 3.764
_cell_length_b 5.524
_cell_length_c 5.524
_cell_angle_alpha 120.00
_cell_angle_beta 90.00
_cell_angle_gamma 90.00
_symmetry_space_group_name_H-M 'P 1'
_symmetry_Int_Tables_number 1
loop_
_symmetry_equiv_pos_as_xyz
'x,y,z'
loop_
_atom_site_label
_atom_site_type_symbol
_atom_site_fract_x
_atom_site_fract_y
_atom_site_fract_z
Ce1 Ce 0.000 0.000 0.000
Sc1 Sc 0.000 0.333 0.667
Sc2 Sc 0.000 0.667 0.333
B1 B 0.500 0.339 0.339
B2 B 0.500 0.661 0.661
B3 B 0.500 0.000 0.661
B4 B 0.500 0.661 0.000
B5 B 0.500 0.339 0.000
B6 B 0.500 0.000 0.339
```

Re2AsPt | GGA-PBE | optimized geometry

Calculated values
- E (eV per cell) = -34.68
- space group = R-3m

Structure (CIF):
```
data_Re2AsPt
_cell_length_a 8.659
_cell_length_b 8.659
_cell_length_c 8.659
_cell_angle_alpha 19.03
_cell_angle_beta 19.03
_cell_angle_gamma 19.03
_symmetry_space_group_name_H-M 'P 1'
_symmetry_Int_Tables_number 1
loop_
_symmetry_equiv_pos_as_xyz
'x,y,z'
loop_
_atom_site_label
_atom_site_type_symbol
_atom_site_fract_x
_atom_site_fract_y
_atom_site_fract_z
Re1 Re 0.995 0.995 0.995
Re2 Re 0.505 0.505 0.505
As1 As 0.250 0.250 0.250
Pt1 Pt 0.750 0.750 0.750
```

Tm2Zn15Au2 | GGA-PBE | optimized geometry

Calculated values
- E (eV per cell) = -39.55
- space group = R-3m

Structure (CIF):
```
data_Tm2Zn15Au2
_cell_length_a 6.812
_cell_length_b 6.812
_cell_length_c 6.812
_cell_angle_alpha 82.91
_cell_angle_beta 82.91
_cell_angle_gamma 82.91
_symmetry_space_group_name_H-M 'P 1'
_symmetry_Int_Tables_number 1
loop_
_symmetry_equiv_pos_as_xyz
'x,y,z'
loop_
_atom_site_label
_atom_site_type_symbol
_atom_site_fract_x
_atom_site_fract_y
_atom_site_fract_z
Tm1 Tm 0.340 0.340 0.340
Tm2 Tm 0.660 0.660 0.660
Zn1 Zn 0.500 0.000 0.000
Zn2 Zn 0.000 0.000 0.500
Zn3 Zn 0.000 0.500 0.000
Zn4 Zn 0.000 0.702 0.298
Zn5 Zn 0.702 0.298 0.000
Zn6 Zn 0.298 0.000 0.702
Zn7 Zn 0.298 0.702 0.000
Zn8 Zn 0.702 0.000 0.298
Zn9 Zn 0.000 0.298 0.702
Zn10 Zn 0.165 0.645 0.645
Zn11 Zn 0.645 0.645 0.165
Zn12 Zn 0.645 0.165 0.645
Zn13 Zn 0.835 0.355 0.355
Zn14 Zn 0.355 0.355 0.835
Zn15 Zn 0.355 0.835 0.355
Au1 Au 0.112 0.112 0.112
Au2 Au 0.888 0.888 0.888
```

Li2Cd2HgAu4 | GGA-PBE | optimized geometry

Calculated values
- E (eV per cell) = -20.37
- space group = I4/mmm

Structure (CIF):
```
data_Li2Cd2HgAu4
_cell_length_a 6.190
_cell_length_b 6.190
_cell_length_c 6.190
_cell_angle_alpha 101.72
_cell_angle_beta 113.48
_cell_angle_gamma 113.48
_symmetry_space_group_name_H-M 'P 1'
_symmetry_Int_Tables_number 1
loop_
_symmetry_equiv_pos_as_xyz
'x,y,z'
loop_
_atom_site_label
_atom_site_type_symbol
_atom_site_fract_x
_atom_site_fract_y
_atom_site_fract_z
Li1 Li 0.000 0.688 0.688
Li2 Li 0.000 0.312 0.312
Cd1 Cd 0.500 0.750 0.250
Cd2 Cd 0.500 0.250 0.750
Hg1 Hg 0.000 0.000 0.000
Au1 Au 0.000 0.717 0.283
Au2 Au 0.433 0.717 0.717
Au3 Au 0.000 0.283 0.717
Au4 Au 0.567 0.283 0.283
```

no.,DOS at the Fermi energy (states/eV/cell)
1,0.00
2,11.54
3,5.35
4,9.58
5,4.27
6,2.77
7,6.34
8,2.04
9,5.30
10,2.75